The following is a DFT calculation (PBE) of crystalline CsCrHg2H at its relaxed geometry.

The structure in POSCAR format:
```
CsCrHg2H
1.0
7.2267 0.0000 0.0000
0.0000 7.2267 0.0000
0.0000 0.0000 5.2070
Cs Cr Hg H
1 1 2 1
Direct
0.0000 0.0000 0.0000
0.5000 0.5000 0.5000
0.0000 0.5000 0.0000
0.5000 0.0000 0.0000
0.0000 0.0000 0.5000
```

Values from the calculation:
The electronic total energy is -1.98 eV/atom. Its space group is No. 123.